[1]
Entry from Alexandria: crystalline Cd2AsRh at its relaxed geometry (PBE).

extended XYZ file:
```
4
Lattice="5.1614 -0.0222 0.0336 4.1793 3.0288 0.0336 0.9440 0.3038 4.7030" Properties=species:S:1:pos:R:3 pbc="T T T"
Rh 7.7135 2.4828 3.5777
Cd 1.0154 0.3268 4.6531
Cd 5.0709 1.6322 2.4350
As 2.5712 0.8276 1.1926
```

uncorrected energy	-13.577	eV for the cell shown
ΔE_f	0.25	eV per formula unit
space group	C2/m

---

[2]
Entry from Alexandria: crystalline Cd2AsRh at its relaxed geometry (PBE).

extended XYZ file:
```
4
Lattice="3.6414 0.0000 0.0000 0.0000 4.2494 -0.1039 0.0000 2.0189 5.1084" Properties=species:S:1:pos:R:3 pbc="T T T"
Cd 1.8207 1.7746 1.6456
Cd 0.0000 6.0466 4.6180
As 1.8207 3.9197 3.9036
Rh 0.0000 3.9298 2.3440
```

uncorrected energy	-14.241	eV for the cell shown
ΔE_f	-0.41	eV per formula unit
space group	Pm

---

[3]
Entry from Alexandria: crystalline CdAs3Rh at its relaxed geometry (PBE).

extended XYZ file:
```
5
Lattice="4.8689 0.0000 0.0000 0.0000 4.8689 0.0000 0.0000 0.0000 4.8689" Properties=species:S:1:pos:R:3 pbc="T T T"
Rh 0.0000 0.0000 0.0000
As 0.0000 2.4345 0.0000
As 2.4345 0.0000 0.0000
As 0.0000 0.0000 2.4345
Cd 2.4345 2.4345 2.4345
```

uncorrected energy	-20.206	eV for the cell shown
ΔE_f	2.01	eV per formula unit
space group	Pm-3m
relative energy among the computed polymorphs	0	meV per atom

---

[4]
Entry from Alexandria: crystalline Cd2AsRh at its relaxed geometry (PBE).

extended XYZ file:
```
4
Lattice="-4.7892 -2.1259 -0.4842 -0.1582 -4.1918 -3.1771 3.0161 1.4394 4.0647" Properties=species:S:1:pos:R:3 pbc="T T T"
As 0.1921 -2.9556 -0.4715
Rh -2.1235 -1.9226 0.8749
Cd -2.4730 -3.1579 -1.8301
Cd -0.0008 -0.0010 -0.0006
```

uncorrected energy	-13.717	eV for the cell shown
ΔE_f	0.11	eV per formula unit
space group	Immm

---

[5]
Entry from Alexandria: crystalline CdAsRh at its relaxed geometry (PBE).

extended XYZ file:
```
3
Lattice="-2.2567 2.0281 0.0449 -1.2358 -1.4277 2.3756 3.2468 3.5142 3.8011" Properties=species:S:1:pos:R:3 pbc="T T T"
As 2.0787 2.6582 4.6172
Rh 0.8526 3.6075 2.6116
Cd 0.3050 0.7286 2.5348
```

uncorrected energy	-13.807	eV for the cell shown
ΔE_f	-0.89	eV per formula unit
space group	Pm

---

[6]
Entry from Alexandria: crystalline Cd2AsRh at its relaxed geometry (PBE).

extended XYZ file:
```
4
Lattice="9.2958 -0.0951 -0.0559 8.8082 2.9725 -0.0559 8.8082 1.3999 2.6228" Properties=species:S:1:pos:R:3 pbc="T T T"
Rh 6.7280 1.0693 0.6278
Cd 26.7651 4.2539 2.4973
Cd 13.6032 2.1620 1.2693
As 20.1841 3.2079 1.8833
```

uncorrected energy	-13.334	eV for the cell shown
ΔE_f	0.50	eV per formula unit
space group	R-3m

---

[7]
Entry from Alexandria: crystalline CdAsRh at its relaxed geometry (PBE).

extended XYZ file:
```
3
Lattice="-6.1044 1.3922 -1.0044 -5.9076 -1.5602 -1.6961 -1.3499 -0.7060 2.6292" Properties=species:S:1:pos:R:3 pbc="T T T"
As -11.6511 -0.1862 -2.5202
Rh -5.0881 -0.5174 0.7605
Cd -8.6347 -0.3384 -1.0123
```

uncorrected energy	-13.618	eV for the cell shown
ΔE_f	-0.70	eV per formula unit
space group	I4mm

---

[8]
Entry from Alexandria: crystalline CdAsRh at its relaxed geometry (PBE).

extended XYZ file:
```
3
Lattice="4.3703 0.0000 0.0000 2.1852 3.7848 0.0000 2.1852 1.2616 3.5684" Properties=species:S:1:pos:R:3 pbc="T T T"
Cd 4.3703 2.5232 1.7842
Rh 2.1852 1.2616 0.8921
As 0.0000 0.0000 0.0000
```

uncorrected energy	-13.186	eV for the cell shown
ΔE_f	-0.27	eV per formula unit
space group	F-43m

---

Which of these has the highest ΔE_f? CdAs3Rh

---

Look up the uncorrected energy of the eighth one. -13.186 eV for the cell shown